## SmAgPbS3 (PBE-GGA)

Data for a relaxed SmAgPbS3 crystal.

abc: 11.583 4.200 11.688
angles: 90.00 90.00 90.00
Sites, in units of the cell vectors:
Sm1 0.019 0.250 0.176
Sm2 0.481 0.750 0.676
Sm3 0.519 0.250 0.324
Sm4 0.981 0.750 0.824
Ag1 0.246 0.750 0.302
Ag2 0.254 0.250 0.802
Ag3 0.746 0.750 0.198
Ag4 0.754 0.250 0.698
Pb1 0.168 0.250 0.512
Pb2 0.332 0.750 0.012
Pb3 0.668 0.250 0.988
Pb4 0.832 0.750 0.488
S1 0.033 0.750 0.352
S2 0.089 0.250 0.936
S3 0.235 0.750 0.674
S4 0.265 0.250 0.174
S5 0.411 0.750 0.436
S6 0.467 0.250 0.852
S7 0.533 0.750 0.148
S8 0.589 0.250 0.564
S9 0.735 0.750 0.826
S10 0.765 0.250 0.326
S11 0.911 0.750 0.064
S12 0.967 0.250 0.648

Results
Final energy = -118.67 eV for the cell shown
Energy above the most stable polymorph in this dataset = 25 meV per atom